Density functional theory data (PBE) for crystalline Nd2DyHo7 at its relaxed geometry.

a = 14.7537 Å, b = 14.7537 Å, c = 3.5098 Å
α = 90.00°, β = 90.00°, γ = 154.63°
Fractional positions:
Nd: 0.2079 0.7921 0.0000
Nd: 0.7921 0.2079 0.0000
Dy: 0.5000 0.5000 0.5000
Ho: 0.0000 0.0000 0.0000
Ho: 0.1561 0.3516 0.0000
Ho: 0.3156 0.6844 0.5000
Ho: 0.3516 0.1561 0.0000
Ho: 0.6484 0.8439 0.0000
Ho: 0.6844 0.3156 0.5000
Ho: 0.8439 0.6484 0.0000

For the offset from the most stable computed form, the calculation gives 0 meV per atom. For the formation energy, the calculation gives 0.158 eV/atom.

Density functional theory data (PBE) for crystalline SrNiN at its relaxed geometry.

a = 3.8407 Å, b = 3.8407 Å, c = 3.5349 Å
α = 90.00°, β = 90.00°, γ = 90.00°
Fractional positions:
Sr: 0.0000 0.0000 0.0000
Ni: 0.5000 0.5000 0.5000
N: 0.5000 0.5000 0.0000

The formation energy (no corrections) is -161.8 kJ/mol of formula units.